Below is a geometry-optimized LaPt3Rh structure, with properties calculated at the PBE level.

Cell and atoms, written as POSCAR:
```
LaPt3Rh
1.0
5.128 0.000 0.000
0.000 5.128 0.000
0.000 0.000 5.128
Pt Rh La
3 1 1
Cartesian
0.000 2.564 0.000 Pt
2.564 0.000 0.000 Pt
0.000 0.000 2.564 Pt
2.564 2.564 2.564 Rh
0.000 0.000 0.000 La
```

Values from the calculation:
- calculated formation energy (kJ/mol of formula units) = 672
- calculated volume (Å³/cell) = 135
- N(E_F) (states/eV/cell) = 6.8